Entry 1:
## KBeCuO2 (GGA-PBE)

Data for crystalline KBeCuO2 at its relaxed geometry.

Cell: 5.8214 4.0220 6.2906 Å, 90.00 99.96 90.00°
Fractional positions:
K 0.0000 0.2480 0.2500
K 0.0000 0.7520 0.7500
Be 0.5000 0.0000 0.0000
Be 0.5000 0.0000 0.5000
Cu 0.5000 0.4196 0.7500
Cu 0.5000 0.5804 0.2500
O 0.3122 0.2519 0.9624
O 0.3122 0.7481 0.4624
O 0.6878 0.2519 0.5376
O 0.6878 0.7481 0.0376

Summary:
total energy: -50.9 eV/cell
formation energy (no corrections): -1325.3 meV/atom



Entry 2:
## Ce4Ga3Pb (GGA-PBE)

Data for crystalline Ce4Ga3Pb at its relaxed geometry.

Cell: 9.5930 9.5930 9.5930 Å, 154.46 150.04 39.76°
Fractional positions:
Ce 0.1215 0.1215 0.0000
Ce 0.2306 0.7306 0.5000
Ce 0.7694 0.2694 0.5000
Ce 0.8785 0.8785 0.0000
Ga 0.0000 0.5000 0.5000
Ga 0.3670 0.3670 0.0000
Ga 0.6330 0.6330 0.0000
Pb 0.5000 0.0000 0.5000

Summary:
calculated formation energy: -0.3066 eV/atom
total energy: -39.0 eV/cell
D(E_F): 16.57 states/eV/cell



Entry 3:
## NaTlInHg3 (GGA-PBE)

Data for crystalline NaTlInHg3 at its relaxed geometry.

Cell: 6.5968 6.5968 10.1491 Å, 90.00 90.00 134.03°
Fractional positions:
Na 0.0102 0.9898 0.7500
Na 0.9898 0.0102 0.2500
Tl 0.3199 0.6801 0.7500
Tl 0.6801 0.3199 0.2500
In 0.5000 0.5000 0.0000
In 0.5000 0.5000 0.5000
Hg 0.1595 0.8405 0.0125
Hg 0.1595 0.8405 0.4875
Hg 0.3402 0.6598 0.2500
Hg 0.6598 0.3402 0.7500
Hg 0.8405 0.1595 0.5125
Hg 0.8405 0.1595 0.9875

Summary:
calculated formation energy: -0.0999 eV/atom
total energy: -15.9 eV/cell
D(E_F): 4.31 states/eV/cell



Entry 4:
## LaMn3In (GGA-PBE)

Data for crystalline LaMn3In at its relaxed geometry.

Cell: 5.0487 5.0487 5.0487 Å, 90.00 90.00 90.00°
Fractional positions:
La 0.0000 0.0000 0.0000
Mn 0.0000 0.5000 0.5000
Mn 0.5000 0.0000 0.5000
Mn 0.5000 0.5000 0.0000
In 0.5000 0.5000 0.5000

Summary:
calculated formation energy: 0.8092 eV/atom
total energy: -31.1 eV/cell
D(E_F): 7.65 states/eV/cell
E above lowest polymorph: 0.000 eV per atom



Entry 5:
## La6Pm12Nd (GGA-PBE)

Data for crystalline La6Pm12Nd at its relaxed geometry.

Cell: 8.7834 8.7834 8.7834 Å, 89.70 89.70 89.70°
Fractional positions:
La 0.1960 0.7642 0.5931
La 0.2358 0.4069 0.8040
La 0.4069 0.8040 0.2358
La 0.5931 0.1960 0.7642
La 0.7642 0.5931 0.1960
La 0.8040 0.2358 0.4069
Pm 0.0337 0.9375 0.2788
Pm 0.0625 0.7212 0.9663
Pm 0.1392 0.4801 0.3097
Pm 0.2788 0.0337 0.9375
Pm 0.3097 0.1392 0.4801
Pm 0.4801 0.3097 0.1392
Pm 0.5199 0.6903 0.8608
Pm 0.6903 0.8608 0.5199
Pm 0.7212 0.9663 0.0625
Pm 0.8608 0.5199 0.6903
Pm 0.9375 0.2788 0.0337
Pm 0.9663 0.0625 0.7212
Nd 0.5000 0.5000 0.5000

Summary:
calculated formation energy: 0.1210 eV/atom
total energy: -89.0 eV/cell
D(E_F): 30.20 states/eV/cell
E above lowest polymorph: 0.103 eV per atom



Entry 6:
## CaRhBr (GGA-PBE)

Data for crystalline CaRhBr at its relaxed geometry.

Cell: 4.4106 4.4106 3.7521 Å, 90.00 90.00 120.00°
Fractional positions:
Ca 0.0000 0.0000 0.0000
Rh 0.3333 0.6667 0.5000
Br 0.6667 0.3333 0.5000

Summary:
total energy: -12.7 eV/cell
D(E_F): 1.30 states/eV/cell
formation energy (no corrections): -547.8 meV/atom
E above lowest polymorph: 0.463 eV per atom



Entry 7:
## RhBr3 (GGA-PBE)

Data for crystalline RhBr3 at its relaxed geometry.

Cell: 7.2441 7.2441 7.2441 Å, 153.83 138.48 49.74°
Fractional positions:
Rh 0.0000 0.0000 0.0000
Br 0.1478 0.6478 0.5000
Br 0.5000 0.5000 0.0000
Br 0.8522 0.3522 0.5000

Summary:
total energy: -12.0 eV/cell
D(E_F): 3.93 states/eV/cell
formation energy (no corrections): 99.4 meV/atom



Entry 8:
## Sr3In2Ag2Hg4 (GGA-PBE)

Data for crystalline Sr3In2Ag2Hg4 at its relaxed geometry.

Cell: 5.0060 5.0060 14.8072 Å, 90.00 90.00 120.00°
Fractional positions:
Sr 0.0000 0.0000 0.0000
Sr 0.0000 0.0000 0.2651
Sr 0.0000 0.0000 0.7349
In 0.3333 0.6667 0.5733
In 0.6667 0.3333 0.4267
Ag 0.3333 0.6667 0.1396
Ag 0.6667 0.3333 0.8604
Hg 0.3333 0.6667 0.3732
Hg 0.3333 0.6667 0.8687
Hg 0.6667 0.3333 0.1313
Hg 0.6667 0.3333 0.6268

Summary:
calculated formation energy: -0.3325 eV/atom
total energy: -21.1 eV/cell
D(E_F): 5.35 states/eV/cell